# TaTl2W

An optimized crystal structure of TaTl2W (GGA-PBE, the Alexandria database).

Energy   -6.030 eV/atom
Energy above the most stable polymorph in this dataset   3.359 eV per formula unit

```
TaTl2W
1.0
-3.879 3.879 2.905
3.879 -3.879 2.905
3.879 3.879 -2.905
Ta Tl W
2 4 2
Direct
0.000 0.000 0.000
0.750 0.250 0.500
0.131 0.625 0.006
0.375 0.381 0.506
0.619 0.125 0.994
0.875 0.869 0.494
0.250 0.750 0.500
0.500 0.500 0.000
```



# La2SmPuS4

An optimized crystal structure of La2SmPuS4 (GGA-PBE, the Alexandria database).

Energy   -7.714 eV/atom
Uncorrected formation energy   -2.04 eV/atom

```
La2SmPuS4
1.0
7.043 0.000 0.000
0.000 4.054 0.000
-2.334 0.000 6.685
La Sm Pu S
2 1 1 4
Direct
0.000 0.000 0.000
0.500 0.500 0.000
0.000 0.500 0.500
0.500 0.000 0.500
0.248 0.000 0.738
0.257 0.500 0.264
0.743 0.500 0.736
0.752 0.000 0.262
```



# Mn2CoHPd

An optimized crystal structure of Mn2CoHPd (GGA-PBE, the Alexandria database).

Energy   -6.825 eV/atom
Energy above the most stable polymorph in this dataset   0.000 eV per formula unit

```
Mn2CoHPd
1.0
4.108 0.000 0.000
0.000 4.108 0.000
0.000 0.000 3.351
Mn Co H Pd
2 1 1 1
Direct
0.000 0.500 0.000
0.500 0.000 0.000
0.000 0.000 0.500
0.000 0.000 0.000
0.500 0.500 0.500
```



# CsTlSe3

An optimized crystal structure of CsTlSe3 (GGA-PBE, the Alexandria database).

Energy   -2.098 eV/atom
Energy above the most stable polymorph in this dataset   5.631 eV per formula unit
Uncorrected formation energy   0.64 eV/atom

```
CsTlSe3
1.0
6.097 0.000 0.000
0.000 6.097 0.000
0.000 0.000 6.097
Cs Tl Se
1 1 3
Direct
0.000 0.000 0.000
0.500 0.500 0.500
0.000 0.000 0.500
0.000 0.500 0.000
0.500 0.000 0.000
```



# YAs4Ru

An optimized crystal structure of YAs4Ru (GGA-PBE, the Alexandria database).

Energy   -5.502 eV/atom

```
YAs4Ru
1.0
0.000 3.888 3.888
3.888 0.000 3.888
3.888 3.888 0.000
Y As Ru
1 4 1
Direct
0.000 0.000 0.000
0.127 0.624 0.624
0.624 0.127 0.624
0.624 0.624 0.127
0.624 0.624 0.624
0.250 0.250 0.250
```



# Li2CoSnOs

An optimized crystal structure of Li2CoSnOs (GGA-PBE, the Alexandria database).

Energy   -4.240 eV/atom
Energy above the most stable polymorph in this dataset   1.971 eV per formula unit

```
Li2CoSnOs
1.0
4.154 0.000 0.000
0.000 4.154 0.000
0.000 0.000 4.764
Li Co Sn Os
2 1 1 1
Direct
0.000 0.500 0.000
0.500 0.000 0.000
0.000 0.000 0.000
0.000 0.000 0.500
0.500 0.500 0.500
```



# Ba2ZnBr

An optimized crystal structure of Ba2ZnBr (GGA-PBE, the Alexandria database).

Energy   -2.586 eV/atom
Energy above the most stable polymorph in this dataset   0.000 eV per formula unit
Uncorrected formation energy   -0.89 eV/atom

```
Ba2ZnBr
1.0
7.850 0.000 0.000
0.000 4.552 0.000
-2.703 0.000 9.209
Ba Zn Br
4 2 2
Direct
0.224 0.250 0.164
0.235 0.250 0.712
0.765 0.750 0.288
0.776 0.750 0.836
0.411 0.750 0.980
0.589 0.250 0.020
0.219 0.750 0.437
0.781 0.250 0.563
```



# Na7HgPb5

An optimized crystal structure of Na7HgPb5 (GGA-PBE, the Alexandria database).

Energy   -2.247 eV/atom

```
Na7HgPb5
1.0
-3.433 5.458 5.550
3.433 -5.458 5.550
3.433 5.458 -5.550
Na Hg Pb
7 1 5
Direct
0.000 0.000 0.000
0.067 0.807 0.260
0.116 0.616 0.500
0.388 0.388 0.000
0.547 0.807 0.740
0.630 0.293 0.337
0.957 0.293 0.663
0.703 0.703 0.000
0.313 0.316 0.527
0.313 0.787 0.998
0.485 0.985 0.500
0.789 0.316 0.002
0.789 0.787 0.473
```



# Ag4WBr

An optimized crystal structure of Ag4WBr (GGA-PBE, the Alexandria database).

Energy   -3.420 eV/atom
Uncorrected formation energy   0.92 eV/atom

```
Ag4WBr
1.0
0.000 3.934 3.934
3.934 0.000 3.934
3.934 3.934 0.000
Ag W Br
4 1 1
Direct
0.125 0.125 0.125
0.125 0.125 0.624
0.125 0.624 0.125
0.624 0.125 0.125
0.500 0.500 0.500
0.750 0.750 0.750
```



# SrLiSb2

An optimized crystal structure of SrLiSb2 (GGA-PBE, the Alexandria database).

Energy   -3.509 eV/atom
Energy above the most stable polymorph in this dataset   0.217 eV per formula unit
Uncorrected formation energy   -0.55 eV/atom

```
SrLiSb2
1.0
-2.698 2.698 9.173
2.698 -2.698 9.173
2.698 2.698 -9.173
Sr Li Sb
2 2 4
Direct
0.000 0.000 0.000
0.750 0.250 0.500
0.250 0.750 0.500
0.500 0.500 0.000
0.253 0.625 0.128
0.375 0.503 0.628
0.497 0.125 0.872
0.875 0.747 0.372
```



# BeFe2Ag

An optimized crystal structure of BeFe2Ag (GGA-PBE, the Alexandria database).

Energy   -5.296 eV/atom

```
BeFe2Ag
1.0
-1.711 1.711 9.087
1.711 -1.711 9.087
1.711 1.711 -9.087
Be Fe Ag
2 4 2
Direct
0.000 0.000 0.000
0.750 0.250 0.500
0.106 0.625 0.981
0.375 0.356 0.481
0.644 0.125 0.019
0.875 0.894 0.519
0.250 0.750 0.500
0.500 0.500 0.000
```



# TbCe3Os3

An optimized crystal structure of TbCe3Os3 (GGA-PBE, the Alexandria database).

Energy   -8.139 eV/atom

```
TbCe3Os3
1.0
4.376 2.526 5.236
-4.376 2.526 5.236
0.000 -5.053 5.236
Tb Ce Os
2 6 6
Direct
0.172 0.172 0.172
0.828 0.828 0.828
0.128 0.683 0.373
0.317 0.627 0.872
0.373 0.128 0.683
0.627 0.872 0.317
0.683 0.373 0.128
0.872 0.317 0.627
0.063 0.447 0.797
0.203 0.937 0.553
0.447 0.797 0.063
0.553 0.203 0.937
0.797 0.063 0.447
0.937 0.553 0.203
```



| no. | total magnetization (μB/f.u.) |
| --- | --- |
| 1 | 0.94 |
| 2 | 5.75 |
| 3 | 8.97 |
| 4 | 1.89 |
| 5 | 0.87 |
| 6 | 2.31 |
| 7 | 0.00 |
| 8 | 0.00 |
| 9 | 4.01 |
| 10 | 0.00 |
| 11 | 4.94 |
| 12 | 0.00 |